No. 1
Ba5In3, optimized geometry, DFT GGA-PBE; energy above the most stable polymorph in this dataset = 0.062 eV/atom; calculated volume = 342.61 Å³ per cell; symmetry = No. 65; DFT total energy = -2.483 eV/atom; energy relative to the elements = -0.2541 eV per atom
1.0
7.673 -0.005 0.000
-2.050 7.394 0.000
0.000 0.000 6.040
Ba In
5 3
Direct
0.000 0.000 0.000
0.000 0.500 0.000
0.500 0.000 0.000
0.292 0.292 0.500
0.708 0.708 0.500
0.500 0.500 0.000
0.781 0.219 0.500
0.219 0.781 0.500

No. 2
HfTaTiVGa, optimized geometry, DFT GGA-PBE; energy above the most stable polymorph in this dataset = 0.000 eV/atom; calculated volume = 171.44 Å³ per cell; symmetry = No. 107; DFT total energy = -8.559 eV/atom; energy relative to the elements = -0.1901 eV per atom
1.0
3.274 0.000 0.000
0.000 3.274 0.000
0.000 0.000 15.994
Ti V Hf Ga Ta
2 2 2 2 2
Direct
0.000 0.000 0.646
0.500 0.500 0.146
0.000 0.000 0.456
0.500 0.500 0.956
0.000 0.000 0.850
0.500 0.500 0.350
0.000 0.000 0.239
0.500 0.500 0.739
0.000 0.000 0.045
0.500 0.500 0.545

Q: Which value of energy relative to the elements does entry 2 give?
A: -0.1901 eV per atom

Q: Which value of energy relative to the elements does entry 1 give?
A: -0.2541 eV per atom